Compound: TiZnMo3
Source: Alexandria
Functional: SCAN
Structure: PBEsol geometry

Properties
E_form = 1555 meV/atom

Cell: 4.490 4.490 4.490 Å, 90.00 90.00 90.00°
Sites, in units of the cell vectors:
1 Ti 0.000 0.000 0.000
2 Zn 0.500 0.500 0.500
3 Mo 0.000 0.000 0.500
4 Mo 0.000 0.500 0.000
5 Mo 0.500 0.000 0.000